Entry 1:
VASP calculation (PBE) on a geometry-optimized Tb2Al4PdPt3 structure.

The space group is P-4m2 (No. 115) and the conventional cell measures 4.192, 4.192 and 10.588 Å, with angles of 90.00, 90.00 and 90.00 degrees. Symmetry generates all atoms from Tb at (0.000, 0.500, 0.247), Al at (0.000, 0.000, 0.000), Al at (0.000, 0.500, 0.630), Al at (0.500, 0.500, 0.000), Pd at (0.000, 0.000, 0.500), Pt at (0.000, 0.500, 0.864) and Pt at (0.500, 0.500, 0.500).

The value obtained for the theoretical density is 10.0 g/cm3. The value obtained for the formation energy is -1.08 eV/atom. Its total energy is -5.84 eV per atom.

=====

Entry 2:
VASP calculation (PBE) on a geometry-optimized LiBSb3 structure.

The space group is Pm-3m (No. 221) and the conventional cell measures 4.907, 4.907 and 4.907 Å, with angles of 90.00, 90.00 and 90.00 degrees. Symmetry generates all atoms from Li at (0.000, 0.000, 0.000), B at (0.500, 0.500, 0.500) and Sb at (0.000, 0.500, 0.500).

As for the uncorrected formation energy: 0.565 eV per atom. The value obtained for the theoretical density is 5.4 g/cm3. Its total energy is -3.63 eV per atom. The calculation puts the energy above the most stable polymorph in this dataset at 0.000 eV/atom.

=====

Entry 3:
VASP calculation (PBE) on a geometry-optimized Sc4InHg3 structure.

The space group is P4/mmm (No. 123) and the conventional cell measures 3.516, 3.516 and 14.258 Å, with angles of 90.00, 90.00 and 90.00 degrees. Symmetry generates all atoms from Sc at (0.000, 0.000, 0.124), Sc at (0.000, 0.000, 0.370), In at (0.500, 0.500, 0.500), Hg at (0.500, 0.500, 0.000) and Hg at (0.500, 0.500, 0.247).

The value obtained for the theoretical density is 8.4 g/cm3. The value obtained for the formation energy is -0.43 eV/atom. Its total energy is -4.05 eV per atom.

=====

| no. | N(E_F) (states/eV per atom) |
| --- | --- |
| 1 | 0.803 |
| 2 | 0.639 |
| 3 | 0.990 |